{
  "formula": "ErScHgRu",
  "functional": "GGA-PBE",
  "state": "optimized geometry",
  "relative_energy_mev_per_atom": 148,
  "crystal_system": "cubic",
  "final_energy_ev_per_fu": -22.036,
  "cell": [[4.8730, 0.0000, 0.0000], [2.4365, 4.2201, 0.0000], [2.4365, 1.4067, 3.9788]],
  "species": ["Sc", "Ru", "Hg", "Er"],
  "fractional_positions": [[0.0000, 0.0000, 0.0000], [0.7500, 0.7500, 0.7500], [0.2500, 0.2500, 0.2500], [0.5000, 0.5000, 0.5000]]
}

=====

{
  "formula": "ErScHgRu",
  "functional": "GGA-PBE",
  "state": "optimized geometry",
  "relative_energy_mev_per_atom": 0,
  "crystal_system": "tetragonal",
  "final_energy_ev_per_fu": -22.627,
  "cell": [[-1.4790, 2.4808, -1.7423], [-2.4488, -2.1204, -0.9406], [-3.8346, 1.8292, 5.8596]],
  "species": ["Er", "Sc", "Hg", "Ru"],
  "fractional_positions": [[0.5000, 0.5000, 0.7901], [0.5000, 0.5000, 0.3507], [0.0000, 0.0000, 0.0890], [0.0000, 0.0000, 0.5549]]
}

=====

{
  "formula": "ErTmHgRu",
  "functional": "GGA-PBE",
  "state": "optimized geometry",
  "relative_energy_mev_per_atom": 0,
  "crystal_system": "tetragonal",
  "final_energy_ev_per_fu": -20.735,
  "cell": [[3.4388, 0.0000, 0.0000], [0.0000, 3.4388, 0.0000], [0.0000, 0.0000, 7.4340]],
  "species": ["Er", "Tm", "Hg", "Ru"],
  "fractional_positions": [[0.5000, 0.5000, 0.7912], [0.5000, 0.5000, 0.3509], [0.0000, 0.0000, 0.0730], [0.0000, 0.0000, 0.5696]]
}

=====

{
  "formula": "ErTmHgRu",
  "functional": "GGA-PBE",
  "state": "optimized geometry",
  "relative_energy_mev_per_atom": 138,
  "crystal_system": "cubic",
  "final_energy_ev_per_fu": -20.183,
  "cell": [[4.9737, 0.0000, 0.0000], [2.4869, 4.3074, 0.0000], [2.4869, 1.4358, 4.0610]],
  "species": ["Ru", "Tm", "Hg", "Er"],
  "fractional_positions": [[0.7500, 0.7500, 0.7500], [0.5000, 0.5000, 0.5000], [0.2500, 0.2500, 0.2500], [0.0000, 0.0000, 0.0000]]
}

=====

{
  "formula": "Er2Tm5HgRu2",
  "functional": "GGA-PBE",
  "state": "optimized geometry",
  "crystal_system": "tetragonal",
  "final_energy_ev_per_fu": -53.961,
  "cell": [[3.8379, 0.0000, 0.0000], [0.0000, 11.5060, 0.0000], [0.0000, 0.0000, 11.5060]],
  "species": ["Er", "Er", "Er", "Er", "Tm", "Tm", "Tm", "Tm", "Tm", "Tm", "Tm", "Tm", "Tm", "Tm", "Hg", "Hg", "Ru", "Ru", "Ru", "Ru"],
  "fractional_positions": [[0.0000, 0.6822, 0.1822], [0.0000, 0.3178, 0.8178], [0.0000, 0.1822, 0.3178], [0.0000, 0.8178, 0.6822], [0.5000, 0.2111, 0.0651], [0.5000, 0.7889, 0.9349], [0.5000, 0.0651, 0.7889], [0.5000, 0.7111, 0.4349], [0.5000, 0.9349, 0.2111], [0.5000, 0.2889, 0.5651], [0.5000, 0.5651, 0.7111], [0.5000, 0.4349, 0.2889], [0.5000, 0.5000, 0.0000], [0.5000, 0.0000, 0.5000], [0.0000, 0.0000, 0.0000], [0.0000, 0.5000, 0.5000], [0.0000, 0.1285, 0.6285], [0.0000, 0.8715, 0.3715], [0.0000, 0.6285, 0.8715], [0.0000, 0.3715, 0.1285]]
}

=====

{
  "formula": "YErHgRu",
  "functional": "GGA-PBE",
  "state": "optimized geometry",
  "relative_energy_mev_per_atom": 0,
  "crystal_system": "tetragonal",
  "final_energy_ev_per_fu": -22.588,
  "cell": [[3.4721, 0.0000, 0.0000], [0.0000, 3.4721, 0.0000], [0.0000, 0.0000, 7.4619]],
  "species": ["Y", "Er", "Hg", "Ru"],
  "fractional_positions": [[0.5000, 0.5000, 0.7927], [0.5000, 0.5000, 0.3506], [0.0000, 0.0000, 0.0755], [0.0000, 0.0000, 0.5659]]
}

=====

{
  "formula": "YErHgRu",
  "functional": "GGA-PBE",
  "state": "optimized geometry",
  "relative_energy_mev_per_atom": 125,
  "crystal_system": "cubic",
  "final_energy_ev_per_fu": -22.089,
  "cell": [[-4.5096, 1.5167, 1.5799], [-2.5717, -2.7815, 3.2838], [-0.5974, 1.5993, 4.7137]],
  "species": ["Y", "Ru", "Hg", "Er"],
  "fractional_positions": [[0.2500, 0.2500, 0.2500], [0.0000, 0.0000, 0.0000], [0.5000, 0.5000, 0.5000], [0.7500, 0.7500, 0.7500]]
}

=====

{
  "formula": "Er7HgS5",
  "functional": "GGA-PBE",
  "state": "optimized geometry",
  "raw_formation_energy_ev_per_atom": -1.611,
  "crystal_system": "monoclinic",
  "final_energy_ev_per_fu": -73.820,
  "cell": [[3.8897, -0.0036, 0.0000], [-1.9508, 6.4099, 0.0074], [0.0000, -0.0280, 23.2278]],
  "species": ["Er", "Er", "Er", "Er", "Er", "Er", "Er", "Er", "Er", "Er", "Er", "Er", "Er", "Er", "Hg", "Hg", "S", "S", "S", "S", "S", "S", "S", "S", "S", "S"],
  "fractional_positions": [[0.4787, 0.9572, 0.2500], [0.5218, 0.0439, 0.7500], [0.6371, 0.2735, 0.0357], [0.3635, 0.7277, 0.9644], [0.3635, 0.7277, 0.5357], [0.6371, 0.2735, 0.4643], [0.1779, 0.3555, 0.1735], [0.8226, 0.6456, 0.8265], [0.8227, 0.6457, 0.6735], [0.1779, 0.3554, 0.3265], [0.9073, 0.8155, 0.1089], [0.0932, 0.1856, 0.8911], [0.0933, 0.1857, 0.6089], [0.9073, 0.8154, 0.3911], [0.7986, 0.5957, 0.2500], [0.2020, 0.4054, 0.7500], [0.0003, 0.0006, 0.0000], [0.7274, 0.4552, 0.9300], [0.2731, 0.5459, 0.0701], [0.5443, 0.0885, 0.3606], [0.4563, 0.9126, 0.6394], [0.0003, 0.0006, 0.5000], [0.2731, 0.5459, 0.4299], [0.7275, 0.4553, 0.5700], [0.4562, 0.9125, 0.8606], [0.5443, 0.0886, 0.1394]]
}

=====

{
  "formula": "Er3HgS6",
  "functional": "GGA-PBE",
  "state": "optimized geometry",
  "raw_formation_energy_ev_per_atom": -1.465,
  "crystal_system": "orthorhombic",
  "final_energy_ev_per_fu": -53.401,
  "cell": [[-4.7808, 4.5231, -0.1334], [-5.6480, -6.0242, -1.8442], [-0.0683, 0.1773, 8.4591]],
  "species": ["Er", "Er", "Er", "Er", "Er", "Er", "Hg", "Hg", "S", "S", "S", "S", "S", "S", "S", "S", "S", "S", "S", "S"],
  "fractional_positions": [[0.4792, 0.9140, 0.7182], [0.9792, 0.7182, 0.9140], [0.3906, 0.4032, 0.5968], [0.8906, 0.5968, 0.4032], [0.9792, 0.0860, 0.2818], [0.4792, 0.2818, 0.0860], [0.9987, 0.2044, 0.7956], [0.4987, 0.7956, 0.2044], [0.1825, 0.6936, 0.6308], [0.6825, 0.6308, 0.6936], [0.2260, 0.4538, 0.9102], [0.7260, 0.9102, 0.4538], [0.1942, 0.0279, 0.9721], [0.6264, 0.2263, 0.7737], [0.1264, 0.7737, 0.2263], [0.6942, 0.9721, 0.0279], [0.2260, 0.0898, 0.5462], [0.7260, 0.5462, 0.0898], [0.1825, 0.3692, 0.3064], [0.6825, 0.3064, 0.3692]]
}

=====

{
  "formula": "Er2HgS4",
  "functional": "GGA-PBE",
  "state": "optimized geometry",
  "raw_formation_energy_ev_per_atom": -1.525,
  "crystal_system": "cubic",
  "final_energy_ev_per_fu": -36.611,
  "cell": [[-5.1905, 3.2091, -5.1050], [-0.9103, -7.5384, 2.3865], [-4.9628, 8.0018, 10.0760]],
  "species": ["Er", "Er", "Er", "Er", "Er", "Er", "Er", "Er", "Hg", "Hg", "Hg", "Hg", "S", "S", "S", "S", "S", "S", "S", "S", "S", "S", "S", "S", "S", "S", "S", "S"],
  "fractional_positions": [[0.5000, 0.0000, 0.0000], [0.0000, 0.0000, 0.5000], [0.0000, 0.5000, 0.0000], [0.5000, 0.5000, 0.5000], [0.2502, 0.0000, 0.2500], [0.7498, 0.0000, 0.7500], [0.5000, 0.0000, 0.5000], [0.0000, 0.0000, 0.0000], [0.9377, 0.3749, 0.3124], [0.4372, 0.3749, 0.8124], [0.5628, 0.6251, 0.1876], [0.0623, 0.6251, 0.6876], [0.3621, 0.7588, 0.1205], [0.8620, 0.7590, 0.6206], [0.1380, 0.2410, 0.3794], [0.6379, 0.2412, 0.8795], [0.1382, 0.7763, 0.3793], [0.6380, 0.7763, 0.8793], [0.6293, 0.7585, 0.3882], [0.1292, 0.7585, 0.8882], [0.8970, 0.7590, 0.1206], [0.3967, 0.7588, 0.6205], [0.8708, 0.2415, 0.1118], [0.3707, 0.2415, 0.6118], [0.3620, 0.2237, 0.1207], [0.8618, 0.2237, 0.6207], [0.6033, 0.2412, 0.3795], [0.1030, 0.2410, 0.8794]]
}

=====

{
  "formula": "Er4HgSeS2",
  "functional": "GGA-PBE",
  "state": "optimized geometry",
  "raw_formation_energy_ev_per_atom": -1.471,
  "crystal_system": "monoclinic",
  "final_energy_ev_per_fu": -42.061,
  "cell": [[3.8910, 0.0000, 0.0000], [0.0000, 7.0852, -0.2466], [0.0000, 2.3928, 6.5513]],
  "species": ["Er", "Er", "Er", "Er", "Hg", "Se", "S", "S"],
  "fractional_positions": [[0.0000, 0.7690, 0.7444], [0.0000, 0.2310, 0.2556], [0.5000, 0.7699, 0.2387], [0.5000, 0.2301, 0.7613], [0.0000, 0.5000, 0.5000], [0.5000, 0.5000, 0.0000], [0.0000, 0.0000, 0.0000], [0.5000, 0.0000, 0.5000]]
}

=====

{
  "formula": "Er4HgSe2S",
  "functional": "GGA-PBE",
  "state": "optimized geometry",
  "raw_formation_energy_ev_per_atom": -1.415,
  "crystal_system": "monoclinic",
  "final_energy_ev_per_fu": -40.971,
  "cell": [[-0.4914, 3.1139, 2.3709], [-2.2344, -4.3256, 5.2180], [7.0700, 0.6905, 0.5585]],
  "species": ["Er", "Er", "Er", "Er", "Hg", "Se", "Se", "S"],
  "fractional_positions": [[0.5000, 0.2569, 0.2503], [0.5000, 0.7431, 0.7497], [0.0000, 0.2621, 0.7618], [0.0000, 0.7379, 0.2382], [0.0000, 0.0000, 0.0000], [0.5000, 0.0000, 0.5000], [0.0000, 0.5000, 0.5000], [0.5000, 0.5000, 0.0000]]
}

=====

- What is the formula in the fifth record?
  Er2Tm5HgRu2